DFT (GGA+U) results for crystalline Li7Mn2Co3O12 at its relaxed geometry.

Structure (extended XYZ):
```
24
Lattice="-0.214 -0.229 2.855 -6.703 -4.733 -0.883 1.808 -9.528 -0.629" Properties=species:S:1:pos:R:3 pbc="T T T"
Li -3.182 -9.571 -1.007
Li -1.713 -4.691 -0.505
Li 0.000 0.000 0.000
Li -1.145 -2.519 1.157
Li -3.965 -11.972 0.186
Li -2.555 -7.245 0.671
Li -3.351 -2.367 -0.441
Mn -4.992 -7.070 -0.942
Mn 0.097 -7.191 -0.570
Co -0.865 -9.700 0.601
Co 0.797 -4.879 1.113
Co -4.244 -4.790 0.742
O 0.177 -3.474 -0.266
O -4.938 -3.702 -0.668
O -1.428 -8.396 -0.781
O -2.403 -10.692 0.406
O -0.817 -6.269 0.880
O -5.800 -6.073 0.522
O 0.044 -10.559 -0.845
O -5.072 -10.787 -1.247
O -3.467 -5.866 -0.731
O -4.292 -8.222 0.463
O -2.706 -3.798 0.937
O 0.690 -8.418 0.821
```

Output
As for the density of states at the Fermi level: 0.20 states/eV per atom. The calculation puts the offset from the most stable computed form at 0.054 eV per atom. The calculation puts the total magnetization at 8.0 Bohr magnetons per cell.